Computed, not measured: a relaxed K2TiPtO4 crystal at the PBE level of DFT.

abc: 5.4269 12.4855 19.8953
angles: 90.00 90.00 90.00
Last column: nearest neighbours and their distance in Å.
Space group Fddd (No. 70, origin choice 2)
One atom of each set of equivalent atoms:
K 0.1250 0.1250 0.3110  2 O 2.70
Ti 0.1250 0.1250 0.1250  4 O 1.86
Pt 0.1250 0.1250 0.6250  4 O 2.11
O 0.0920 0.2735 0.4095  1 Ti 1.86

Calculated values
- E_tot (eV/cell) = -386.2


Computed, not measured: a relaxed KTi2PtO6 crystal at the PBE level of DFT.

abc: 6.5292 11.8288 8.3118
angles: 90.00 90.00 90.00
Last column: nearest neighbours and their distance in Å.
Space group Imma (No. 74)
One atom of each set of equivalent atoms:
K 0.0000 0.2500 0.0936  6 O 2.71-2.78
Ti 0.2500 0.0406 0.7500  4 O 1.83-1.87
Pt 0.0000 0.2500 0.5810  4 O 1.97
O 0.0000 0.0343 0.2253  2 Ti 1.87
O 0.2149 0.1329 0.5760  1 Ti 1.83, 1 Pt 1.97

Calculated values
- E_tot (eV/cell) = -295.9


What did the second record say?
Computed, not measured: a relaxed KTi2PtO6 crystal at the PBE level of DFT.

abc: 6.5292 11.8288 8.3118
angles: 90.00 90.00 90.00
Last column: nearest neighbours and their distance in Å.
Space group Imma (No. 74)
One atom of each set of equivalent atoms:
K 0.0000 0.2500 0.0936  6 O 2.71-2.78
Ti 0.2500 0.0406 0.7500  4 O 1.83-1.87
Pt 0.0000 0.2500 0.5810  4 O 1.97
O 0.0000 0.0343 0.2253  2 Ti 1.87
O 0.2149 0.1329 0.5760  1 Ti 1.83, 1 Pt 1.97

Calculated values
- E_tot (eV/cell) = -295.9


What did the second record say?
Computed, not measured: a relaxed KTi2PtO6 crystal at the PBE level of DFT.

abc: 6.5292 11.8288 8.3118
angles: 90.00 90.00 90.00
Last column: nearest neighbours and their distance in Å.
Space group Imma (No. 74)
One atom of each set of equivalent atoms:
K 0.0000 0.2500 0.0936  6 O 2.71-2.78
Ti 0.2500 0.0406 0.7500  4 O 1.83-1.87
Pt 0.0000 0.2500 0.5810  4 O 1.97
O 0.0000 0.0343 0.2253  2 Ti 1.87
O 0.2149 0.1329 0.5760  1 Ti 1.83, 1 Pt 1.97

Calculated values
- E_tot (eV/cell) = -295.9


- Number 1 is which compound?
  K2TiPtO4


What did the second record say?
Computed, not measured: a relaxed KTi2PtO6 crystal at the PBE level of DFT.

abc: 6.5292 11.8288 8.3118
angles: 90.00 90.00 90.00
Last column: nearest neighbours and their distance in Å.
Space group Imma (No. 74)
One atom of each set of equivalent atoms:
K 0.0000 0.2500 0.0936  6 O 2.71-2.78
Ti 0.2500 0.0406 0.7500  4 O 1.83-1.87
Pt 0.0000 0.2500 0.5810  4 O 1.97
O 0.0000 0.0343 0.2253  2 Ti 1.87
O 0.2149 0.1329 0.5760  1 Ti 1.83, 1 Pt 1.97

Calculated values
- E_tot (eV/cell) = -295.9